Record 1
Here is an optimized crystal structure of PmZr2 from OQMD via LeMat-Bulk. Energies are from PBE.

Output
ΔH_f (0 K): 0.151 eV per atom
Energy above the most stable polymorph in this dataset: 6.7 kJ per mole of atoms
Calculated total energy: -7.129 eV/atom
SG: Cmcm
Density: 7.0 g/cm³
Total moment: 0.00 μB/cell

Cell lengths 17.4736, 3.2993, 5.4064 Å; angles 90.00, 90.00, 90.00 degrees
Fractional positions:
Zr: 0.4385 0.0000 0.5000
Zr: 0.1694 0.5000 0.0000
Zr: 0.0062 0.0000 0.0000
Zr: 0.5059 0.5000 0.0000
Zr: 0.7750 0.0000 0.5000
Zr: 0.2749 0.5000 0.5000
Zr: 0.9382 0.5000 0.5000
Zr: 0.6695 0.0000 0.0000
Pm: 0.6081 0.5000 0.5000
Pm: 0.1079 0.0000 0.5000
Pm: 0.8366 0.5000 0.0000
Pm: 0.3363 0.0000 0.0000

Record 2
Here is an optimized crystal structure of PmZr2 from OQMD via LeMat-Bulk. Energies are from PBE.

Output
ΔH_f (0 K): 0.133 eV per atom
Energy above the most stable polymorph in this dataset: 5.0 kJ per mole of atoms
Calculated total energy: -7.147 eV/atom
SG: P-62m
Density: 6.9 g/cm³
Total moment: 0.07 μB/cell

Cell lengths 5.8284, 5.8284, 5.3592 Å; angles 90.00, 90.00, 60.00 degrees
Fractional positions:
Zr: 0.6667 0.9755 0.5000
Zr: 0.6667 0.6667 0.0000
Zr: 0.3578 0.6667 0.5000
Zr: 0.9755 0.3578 0.5000
Pm: 0.0000 0.0000 0.0000
Pm: 0.3333 0.3333 0.0000

Record 3
Here is an optimized crystal structure of PmZr2 from OQMD via LeMat-Bulk. Energies are from PBE.

Output
ΔH_f (0 K): 0.100 eV per atom
Energy above the most stable polymorph in this dataset: 1.8 kJ per mole of atoms
Calculated total energy: -7.180 eV/atom
SG: Cmcm
Density: 6.8 g/cm³
Total moment: 0.00 μB/cell

Cell lengths 5.7195, 10.4411, 5.3434 Å; angles 90.00, 90.00, 90.00 degrees
Fractional positions:
Zr: 0.3251 0.6837 0.5000
Zr: 0.0083 0.6837 0.0000
Zr: 0.0083 0.3163 0.0000
Zr: 0.5082 0.1837 0.0000
Zr: 0.5082 0.8163 0.0000
Zr: 0.3251 0.3163 0.5000
Zr: 0.8250 0.1837 0.5000
Zr: 0.8250 0.8163 0.5000
Pm: 0.3605 0.0000 0.5000
Pm: 0.4728 0.5000 0.0000
Pm: 0.8605 0.5000 0.5000
Pm: 0.9728 0.0000 0.0000

Record 4
Here is an optimized crystal structure of PmZr3 from OQMD via LeMat-Bulk. Energies are from PBE.

Output
ΔH_f (0 K): 0.113 eV per atom
Energy above the most stable polymorph in this dataset: 0.5 kJ per mole of atoms
Calculated total energy: -7.484 eV/atom
SG: Cmcm
Density: 6.9 g/cm³
Total moment: 0.02 μB/cell

Cell lengths 6.6428, 6.6197, 5.3302 Å; angles 90.00, 90.00, 120.12 degrees
Fractional positions:
Pm: 0.8297 0.1594 0.5000
Pm: 0.0036 0.5073 0.0000
Zr: 0.3460 0.6726 0.5000
Zr: 0.3338 0.1675 0.5000
Zr: 0.4996 0.4992 0.0000
Zr: 0.0068 0.9941 0.0000
Zr: 0.4873 0.9941 0.0000
Zr: 0.8266 0.6726 0.5000

Record 5
Here is an optimized crystal structure of PmZr3 from OQMD via LeMat-Bulk. Energies are from PBE.

Output
ΔH_f (0 K): 0.108 eV per atom
Energy above the most stable polymorph in this dataset: 0.0 kJ per mole of atoms
Calculated total energy: -7.488 eV/atom
SG: Pmmn
Density: 6.8 g/cm³
Total moment: 0.00 μB/cell

Cell lengths 5.7823, 6.6444, 5.3081 Å; angles 90.00, 90.00, 90.00 degrees
Fractional positions:
Pm: 0.0105 0.0000 0.0000
Pm: 0.3229 0.5000 0.5000
Zr: 0.8240 0.7446 0.5000
Zr: 0.5093 0.2446 0.0000
Zr: 0.8240 0.2554 0.5000
Zr: 0.9723 0.5000 0.0000
Zr: 0.3611 0.0000 0.5000
Zr: 0.5093 0.7554 0.0000

Record 6
Here is an optimized crystal structure of PmZr2 from OQMD via LeMat-Bulk. Energies are from PBE.

Output
ΔH_f (0 K): 0.269 eV per atom
Energy above the most stable polymorph in this dataset: 18.2 kJ per mole of atoms
Calculated total energy: -7.010 eV/atom
SG: Fd-3m
Density: 6.6 g/cm³
Total moment: 4.78 μB/cell

Cell lengths 6.1433, 6.1433, 6.1433 Å; angles 60.00, 60.00, 60.00 degrees
Fractional positions:
Zr: 0.6250 0.1250 0.6250
Zr: 0.1250 0.6250 0.6250
Zr: 0.6250 0.6250 0.1250
Zr: 0.6250 0.6250 0.6250
Pm: 0.2500 0.2500 0.2500
Pm: 0.0000 0.0000 0.0000

Record 7
Here is an optimized crystal structure of PmZr2 from OQMD via LeMat-Bulk. Energies are from PBE.

Output
ΔH_f (0 K): 0.081 eV per atom
Energy above the most stable polymorph in this dataset: 0.0 kJ per mole of atoms
Calculated total energy: -7.199 eV/atom
SG: Cmcm
Density: 6.9 g/cm³
Total moment: 0.01 μB/cell

Cell lengths 17.9393, 3.3074, 5.3458 Å; angles 90.00, 90.00, 90.00 degrees
Fractional positions:
Zr: 0.4474 0.0000 0.5000
Zr: 0.8503 0.5000 0.0000
Zr: 0.3503 0.0000 0.0000
Zr: 0.9971 0.0000 0.0000
Zr: 0.0942 0.0000 0.5000
Zr: 0.9474 0.5000 0.5000
Zr: 0.4971 0.5000 0.0000
Zr: 0.5942 0.5000 0.5000
Pm: 0.2815 0.5000 0.5000
Pm: 0.6630 0.0000 0.0000
Pm: 0.7815 0.0000 0.5000
Pm: 0.1630 0.5000 0.0000

Record 8
Here is an optimized crystal structure of PmZr3 from OQMD via LeMat-Bulk. Energies are from PBE.

Output
ΔH_f (0 K): 0.108 eV per atom
Energy above the most stable polymorph in this dataset: 0.0 kJ per mole of atoms
Calculated total energy: -7.489 eV/atom
SG: P6_3/mmc
Density: 6.8 g/cm³
Total moment: 0.01 μB/cell

Cell lengths 6.6780, 6.6780, 5.2891 Å; angles 90.00, 90.00, 120.00 degrees
Fractional positions:
Pm: 0.0000 0.0000 0.0000
Pm: 0.3333 0.6667 0.5000
Zr: 0.8251 0.1749 0.5000
Zr: 0.5083 0.0165 0.0000
Zr: 0.5083 0.4917 0.0000
Zr: 0.9835 0.4917 0.0000
Zr: 0.8251 0.6501 0.5000
Zr: 0.3499 0.1749 0.5000

Record 9
Here is an optimized crystal structure of Pr2Pt from OQMD via LeMat-Bulk. Energies are from PBE.

Output
ΔH_f (0 K): -0.672 eV per atom
Calculated total energy: -5.874 eV/atom
SG: Fm-3m
Density: 8.7 g/cm³
Total moment: 0.00 μB/cell

Cell lengths 5.0503, 5.0503, 5.0503 Å; angles 60.00, 60.00, 60.00 degrees
Fractional positions:
Pr: 0.7500 0.7500 0.7500
Pr: 0.2500 0.2500 0.2500
Pt: 0.0000 0.0000 0.0000

Record 10
Here is an optimized crystal structure of Pr7Pt3 from OQMD via LeMat-Bulk. Energies are from PBE.

Output
ΔH_f (0 K): -0.727 eV per atom
Calculated total energy: -5.886 eV/atom
SG: P6_3mc
Density: 8.9 g/cm³
Total moment: 0.01 μB/cell

Cell lengths 10.2509, 10.2509, 6.4648 Å; angles 90.00, 90.00, 120.00 degrees
Fractional positions:
Pr: 0.8736 0.1264 0.2443
Pr: 0.6667 0.3333 0.4537
Pr: 0.8736 0.7471 0.2443
Pr: 0.5374 0.4626 0.9443
Pr: 0.3333 0.6667 0.9537
Pr: 0.1264 0.8736 0.7443
Pr: 0.0748 0.5374 0.4443
Pr: 0.4626 0.5374 0.4443
Pr: 0.1264 0.2529 0.7443
Pr: 0.9252 0.4626 0.9443
Pr: 0.7471 0.8736 0.7443
Pr: 0.5374 0.0748 0.9443
Pr: 0.2529 0.1264 0.2443
Pr: 0.4626 0.9252 0.4443
Pt: 0.1892 0.8108 0.1911
Pt: 0.6216 0.8108 0.1911
Pt: 0.8108 0.1892 0.6911
Pt: 0.1892 0.3784 0.1911
Pt: 0.3784 0.1892 0.6911
Pt: 0.8108 0.6216 0.6911

Record 11
Here is an optimized crystal structure of PrPt from OQMD via LeMat-Bulk. Energies are from PBE.

Output
ΔH_f (0 K): -0.699 eV per atom
Calculated total energy: -6.114 eV/atom
SG: P-6m2
Density: 11.5 g/cm³
Total moment: 0.01 μB/cell

Cell lengths 3.6570, 3.6570, 4.1797 Å; angles 90.00, 90.00, 120.00 degrees
Fractional positions:
Pt: 0.3333 0.6667 0.2500
Pr: 0.6667 0.3333 0.7500

Record 12
Here is an optimized crystal structure of Pr2Pt from OQMD via LeMat-Bulk. Energies are from PBE.

Output
ΔH_f (0 K): 0.380 eV per atom
Calculated total energy: -4.821 eV/atom
SG: Fd-3m
Density: 9.8 g/cm³
Total moment: 0.02 μB/cell

Cell lengths 6.1081, 6.1081, 6.1081 Å; angles 60.00, 60.00, 60.00 degrees
Fractional positions:
Pt: 0.2500 0.2500 0.2500
Pt: 0.0000 0.0000 0.0000
Pr: 0.6250 0.6250 0.1250
Pr: 0.1250 0.6250 0.6250
Pr: 0.6250 0.1250 0.6250
Pr: 0.6250 0.6250 0.6250

Record 13
Here is an optimized crystal structure of PrPt from OQMD via LeMat-Bulk. Energies are from PBE.

Output
ΔH_f (0 K): -0.437 eV per atom
Calculated total energy: -5.853 eV/atom
SG: F-43m
Density: 8.0 g/cm³
Total moment: 0.17 μB/cell

Cell lengths 4.6266, 4.6266, 4.6266 Å; angles 60.00, 60.00, 60.00 degrees
Fractional positions:
Pt: 0.2500 0.2500 0.2500
Pr: 0.0000 0.0000 0.0000

Record 14
Here is an optimized crystal structure of Pr2Pt7 from OQMD via LeMat-Bulk. Energies are from PBE.

Output
ΔH_f (0 K): -0.835 eV per atom
Calculated total energy: -6.606 eV/atom
SG: R-3m
Density: 15.9 g/cm³
Total moment: 0.00 μB/cell

Cell lengths 13.6952, 13.6952, 13.6952 Å; angles 23.03, 23.03, 23.03 degrees
Fractional positions:
Pt: 0.3872 0.3872 0.8922
Pt: 0.6114 0.6114 0.6114
Pt: 0.5000 0.0000 0.5000
Pt: 0.0000 0.5000 0.5000
Pt: 0.3886 0.3886 0.3886
Pt: 0.2778 0.2778 0.2778
Pt: 0.1078 0.6128 0.6128
Pt: 0.6128 0.6128 0.1078
Pt: 0.5000 0.5000 0.5000
Pt: 0.3872 0.8922 0.3872
Pt: 0.6128 0.1078 0.6128
Pt: 0.5000 0.5000 0.0000
Pt: 0.7222 0.7222 0.7222
Pt: 0.8922 0.3872 0.3872
Pr: 0.0496 0.0496 0.0496
Pr: 0.1474 0.1474 0.1474
Pr: 0.9504 0.9504 0.9504
Pr: 0.8526 0.8526 0.8526

Record 15
Here is an optimized crystal structure of PrPu2Pt9 from OQMD via LeMat-Bulk. Energies are from PBE.

Output
ΔH_f (0 K): -0.451 eV per atom
Calculated total energy: -7.745 eV/atom
SG: R-3m
Density: 17.6 g/cm³
Total moment: 0.21 μB/cell

Cell lengths 9.4332, 9.4332, 9.4332 Å; angles 33.32, 33.32, 33.32 degrees
Fractional positions:
Pt: 0.6673 0.6673 0.6673
Pt: 0.5000 0.5000 0.5000
Pt: 0.4123 0.4123 0.9179
Pt: 0.5877 0.5877 0.0821
Pt: 0.0821 0.5877 0.5877
Pt: 0.4123 0.9179 0.4123
Pt: 0.9179 0.4123 0.4123
Pt: 0.3327 0.3327 0.3327
Pt: 0.5877 0.0821 0.5877
Pu: 0.8569 0.8569 0.8569
Pu: 0.1431 0.1431 0.1431
Pr: 0.0000 0.0000 0.0000

Record 16
Here is an optimized crystal structure of RbPrTe3Pt from OQMD via LeMat-Bulk. Energies are from PBE.

Output
Calculated total energy: -4.481 eV/atom
SG: Cmcm
Density: 6.2 g/cm³
Total moment: 0.01 μB/cell

Cell lengths 9.3641, 9.3641, 10.6267 Å; angles 90.00, 90.00, 152.46 degrees
Fractional positions:
Pt: 0.0027 0.9973 0.7500
Pt: 0.9973 0.0027 0.2500
Te: 0.1129 0.8871 0.0945
Te: 0.5928 0.4072 0.7500
Te: 0.8871 0.1129 0.9055
Te: 0.4072 0.5928 0.2500
Te: 0.8871 0.1129 0.5945
Te: 0.1129 0.8871 0.4055
Pr: 0.5000 0.5000 0.0000
Pr: 0.5000 0.5000 0.5000
Rb: 0.7477 0.2523 0.2500
Rb: 0.2523 0.7477 0.7500

Record 17
Here is an optimized crystal structure of Pr3Sb4Pt3 from OQMD via LeMat-Bulk. Energies are from PBE.

Output
Calculated total energy: -5.923 eV/atom
SG: I-43d
Density: 10.0 g/cm³
Total moment: 0.01 μB/cell

Cell lengths 8.6467, 8.6467, 8.6467 Å; angles 109.47, 109.47, 109.47 degrees
Fractional positions:
Pt: 0.6250 0.7500 0.3750
Pt: 0.1250 0.8750 0.2500
Pt: 0.3750 0.6250 0.7500
Pt: 0.2500 0.1250 0.8750
Pt: 0.7500 0.3750 0.6250
Pt: 0.8750 0.2500 0.1250
Pr: 0.7500 0.8750 0.1250
Pr: 0.6250 0.3750 0.2500
Pr: 0.2500 0.6250 0.3750
Pr: 0.1250 0.7500 0.8750
Pr: 0.8750 0.1250 0.7500
Pr: 0.3750 0.2500 0.6250
Sb: 0.5000 0.0000 0.3379
Sb: 0.8379 0.5000 0.0000
Sb: 0.6620 0.6620 0.6620
Sb: 0.0000 0.8379 0.5000
Sb: 0.1621 0.1621 0.1621
Sb: 0.5000 0.0000 0.8379
Sb: 0.0000 0.3379 0.5000
Sb: 0.3379 0.5000 0.0000

Record 18
Here is an optimized crystal structure of Pr2SbPt8 from OQMD via LeMat-Bulk. Energies are from PBE.

Output
Calculated total energy: -6.394 eV/atom
SG: Amm2
Density: 14.9 g/cm³
Total moment: 0.00 μB/cell

Cell lengths 4.3466, 9.4185, 9.4185 Å; angles 145.42, 90.00, 90.00 degrees
Fractional positions:
Pt: 0.5000 0.9716 0.9716
Pt: 0.5000 0.7873 0.1967
Pt: 0.0000 0.8629 0.0987
Pt: 0.0000 0.0987 0.8629
Pt: 0.5000 0.1967 0.7873
Pt: 0.0000 0.6708 0.6708
Pt: 0.0000 0.9872 0.4872
Pt: 0.0000 0.4872 0.9872
Pr: 0.5000 0.3803 0.6361
Pr: 0.5000 0.6361 0.3803
Sb: 0.0000 0.2346 0.2346

Record 19
Here is an optimized crystal structure of PrScPt from OQMD via LeMat-Bulk. Energies are from PBE.

Output
ΔH_f (0 K): -0.895 eV per atom
Energy above the most stable polymorph in this dataset: 0.0 kJ per mole of atoms
Calculated total energy: -6.614 eV/atom
SG: C2/m
Density: 8.6 g/cm³
Total moment: 0.02 μB/cell

Cell lengths 4.5896, 4.5897, 7.0174 Å; angles 87.72, 87.75, 89.83 degrees
Fractional positions:
Sc: 0.2453 0.7547 0.5000
Sc: 0.7547 0.2453 0.5000
Pt: 0.2731 0.2734 0.2846
Pt: 0.7269 0.7266 0.7154
Pr: 0.2541 0.2541 0.8728
Pr: 0.7459 0.7459 0.1272

Record 20
Here is an optimized crystal structure of PrScPt from OQMD via LeMat-Bulk. Energies are from PBE.

Output
ΔH_f (0 K): -0.219 eV per atom
Energy above the most stable polymorph in this dataset: 65.2 kJ per mole of atoms
Calculated total energy: -5.939 eV/atom
SG: F-43m
Density: 8.8 g/cm³
Total moment: 0.00 μB/cell

Cell lengths 4.6689, 4.6689, 4.6689 Å; angles 60.00, 60.00, 60.00 degrees
Fractional positions:
Sc: 0.0000 0.0000 0.0000
Pr: 0.2500 0.2500 0.2500
Pt: 0.7500 0.7500 0.7500